(1)
Below is a relaxed PuMg2 crystal, with properties calculated at the PBE level.

**Electronic total energy**: -5.682 eV/atom

Geometry as CIF:
```
data_PuMg2
_chemical_formula_sum 'Pu4 Mg8'
_symmetry_space_group_name_H-M 'P m m n'
_symmetry_Int_Tables_number 59
_cell_length_a 2.982
_cell_length_b 5.487
_cell_length_c 17.929
_cell_angle_alpha 90.00
_cell_angle_beta 90.00
_cell_angle_gamma 90.00
loop_
_symmetry_equiv_pos_as_xyz
'x,y,z'
'-x,-y,-z'
'-x+1/2,-y+1/2,z'
'x+1/2,y+1/2,-z'
'x+1/2,-y,-z'
'-x+1/2,y,z'
'-x,y+1/2,-z'
'x,-y+1/2,z'
loop_
_atom_site_label
_atom_site_type_symbol
_atom_site_fract_x
_atom_site_fract_y
_atom_site_fract_z
_atom_site_occupancy
Pu1 Pu 0.250 0.250 0.134 1
Pu2 Pu 0.250 0.750 0.365 1
Mg1 Mg 0.250 0.250 0.465 1
Mg2 Mg 0.250 0.250 0.801 1
Mg3 Mg 0.250 0.750 0.035 1
Mg4 Mg 0.250 0.750 0.700 1
```

=====

(2)
Below is a relaxed RbPuMg crystal, with properties calculated at the PBE level.

**Electronic total energy**: -4.712 eV/atom

Geometry as CIF:
```
data_RbPuMg
_chemical_formula_sum 'Rb4 Pu4 Mg4'
_symmetry_space_group_name_H-M 'F -4 3 m'
_symmetry_Int_Tables_number 216
_symmetry_space_group_name_Hall 'F -4 2 3'
_cell_length_a 8.388
_cell_length_b 8.388
_cell_length_c 8.388
_cell_angle_alpha 90.00
_cell_angle_beta 90.00
_cell_angle_gamma 90.00
loop_
_atom_site_label
_atom_site_type_symbol
_atom_site_fract_x
_atom_site_fract_y
_atom_site_fract_z
_atom_site_occupancy
Rb1 Rb 0.000 0.000 0.000 1
Pu1 Pu 0.000 0.000 0.500 1
Mg1 Mg 0.250 0.250 0.750 1
```

=====

(3)
Below is a relaxed PuMgRe crystal, with properties calculated at the PBE level.

**Electronic total energy**: -8.129 eV/atom

Geometry as CIF:
```
data_PuMgRe
_chemical_formula_sum 'Pu4 Mg4 Re4'
_symmetry_space_group_name_H-M 'F -4 3 m'
_symmetry_Int_Tables_number 216
_symmetry_space_group_name_Hall 'F -4 2 3'
_cell_length_a 6.374
_cell_length_b 6.374
_cell_length_c 6.374
_cell_angle_alpha 90.00
_cell_angle_beta 90.00
_cell_angle_gamma 90.00
loop_
_atom_site_label
_atom_site_type_symbol
_atom_site_fract_x
_atom_site_fract_y
_atom_site_fract_z
_atom_site_occupancy
Pu1 Pu 0.000 0.000 0.000 1
Mg1 Mg 0.250 0.250 0.750 1
Re1 Re 0.250 0.250 0.250 1
```

=====

(4)
Below is a relaxed PuMgRe crystal, with properties calculated at the PBE level.

**Electronic total energy**: -8.819 eV/atom

Geometry as CIF:
```
data_PuMgRe
_chemical_formula_sum 'Pu4 Mg4 Re4'
_symmetry_space_group_name_H-M 'F -4 3 m'
_symmetry_Int_Tables_number 216
_symmetry_space_group_name_Hall 'F -4 2 3'
_cell_length_a 6.430
_cell_length_b 6.430
_cell_length_c 6.430
_cell_angle_alpha 90.00
_cell_angle_beta 90.00
_cell_angle_gamma 90.00
loop_
_atom_site_label
_atom_site_type_symbol
_atom_site_fract_x
_atom_site_fract_y
_atom_site_fract_z
_atom_site_occupancy
Pu1 Pu 0.000 0.000 0.000 1
Mg1 Mg 0.000 0.000 0.500 1
Re1 Re 0.250 0.250 0.250 1
```

=====

(5)
Below is a relaxed PuMgSc crystal, with properties calculated at the PBE level.

**Electronic total energy**: -6.731 eV/atom

Geometry as CIF:
```
data_PuMgSc
_chemical_formula_sum 'Pu4 Mg4 Sc4'
_symmetry_space_group_name_H-M 'F -4 3 m'
_symmetry_Int_Tables_number 216
_symmetry_space_group_name_Hall 'F -4 2 3'
_cell_length_a 7.126
_cell_length_b 7.126
_cell_length_c 7.126
_cell_angle_alpha 90.00
_cell_angle_beta 90.00
_cell_angle_gamma 90.00
loop_
_atom_site_label
_atom_site_type_symbol
_atom_site_fract_x
_atom_site_fract_y
_atom_site_fract_z
_atom_site_occupancy
Pu1 Pu 0.000 0.000 0.000 1
Mg1 Mg 0.250 0.250 0.250 1
Sc1 Sc 0.000 0.000 0.500 1
```

=====

(6)
Below is a relaxed PuMgSi crystal, with properties calculated at the PBE level.

**Electronic total energy**: -7.260 eV/atom

Geometry as CIF:
```
data_PuMgSi
_chemical_formula_sum 'Pu4 Mg4 Si4'
_symmetry_space_group_name_H-M 'F -4 3 m'
_symmetry_Int_Tables_number 216
_symmetry_space_group_name_Hall 'F -4 2 3'
_cell_length_a 6.600
_cell_length_b 6.600
_cell_length_c 6.600
_cell_angle_alpha 90.00
_cell_angle_beta 90.00
_cell_angle_gamma 90.00
loop_
_atom_site_label
_atom_site_type_symbol
_atom_site_fract_x
_atom_site_fract_y
_atom_site_fract_z
_atom_site_occupancy
Pu1 Pu 0.000 0.000 0.000 1
Mg1 Mg 0.000 0.000 0.500 1
Si1 Si 0.250 0.250 0.750 1
```

=====

(7)
Below is a relaxed PuMgSi crystal, with properties calculated at the PBE level.

**Electronic total energy**: -6.645 eV/atom

Geometry as CIF:
```
data_PuMgSi
_chemical_formula_sum 'Pu4 Mg4 Si4'
_symmetry_space_group_name_H-M 'F -4 3 m'
_symmetry_Int_Tables_number 216
_symmetry_space_group_name_Hall 'F -4 2 3'
_cell_length_a 6.727
_cell_length_b 6.727
_cell_length_c 6.727
_cell_angle_alpha 90.00
_cell_angle_beta 90.00
_cell_angle_gamma 90.00
loop_
_atom_site_label
_atom_site_type_symbol
_atom_site_fract_x
_atom_site_fract_y
_atom_site_fract_z
_atom_site_occupancy
Pu1 Pu 0.000 0.000 0.000 1
Mg1 Mg 0.250 0.250 0.250 1
Si1 Si 0.250 0.250 0.750 1
```

=====

(8)
Below is a relaxed SmPuMg crystal, with properties calculated at the PBE level.

**Electronic total energy**: -6.245 eV/atom

Geometry as CIF:
```
data_SmPuMg
_chemical_formula_sum 'Sm4 Pu4 Mg4'
_symmetry_space_group_name_H-M 'F -4 3 m'
_symmetry_Int_Tables_number 216
_symmetry_space_group_name_Hall 'F -4 2 3'
_cell_length_a 7.373
_cell_length_b 7.373
_cell_length_c 7.373
_cell_angle_alpha 90.00
_cell_angle_beta 90.00
_cell_angle_gamma 90.00
loop_
_atom_site_label
_atom_site_type_symbol
_atom_site_fract_x
_atom_site_fract_y
_atom_site_fract_z
_atom_site_occupancy
Sm1 Sm 0.000 0.000 0.000 1
Pu1 Pu 0.000 0.000 0.500 1
Mg1 Mg 0.250 0.250 0.750 1
```

=====

(9)
Below is a relaxed PuMgSn crystal, with properties calculated at the PBE level.

**Electronic total energy**: -6.317 eV/atom

Geometry as CIF:
```
data_PuMgSn
_chemical_formula_sum 'Pu4 Mg4 Sn4'
_symmetry_space_group_name_H-M 'F -4 3 m'
_symmetry_Int_Tables_number 216
_symmetry_space_group_name_Hall 'F -4 2 3'
_cell_length_a 7.211
_cell_length_b 7.211
_cell_length_c 7.211
_cell_angle_alpha 90.00
_cell_angle_beta 90.00
_cell_angle_gamma 90.00
loop_
_atom_site_label
_atom_site_type_symbol
_atom_site_fract_x
_atom_site_fract_y
_atom_site_fract_z
_atom_site_occupancy
Pu1 Pu 0.000 0.000 0.000 1
Mg1 Mg 0.250 0.250 0.750 1
Sn1 Sn 0.250 0.250 0.250 1
```

=====

(10)
Below is a relaxed PuMgSn2 crystal, with properties calculated at the PBE level.

**Electronic total energy**: -6.322 eV/atom

Geometry as CIF:
```
data_PuMgSn2
_chemical_formula_sum 'Pu1 Mg1 Sn2'
_symmetry_space_group_name_H-M 'P 4/m m m'
_symmetry_Int_Tables_number 123
_symmetry_space_group_name_Hall '-P 4 2'
_cell_length_a 4.725
_cell_length_b 4.725
_cell_length_c 4.407
_cell_angle_alpha 90.00
_cell_angle_beta 90.00
_cell_angle_gamma 90.00
loop_
_atom_site_label
_atom_site_type_symbol
_atom_site_fract_x
_atom_site_fract_y
_atom_site_fract_z
_atom_site_occupancy
Pu1 Pu 0.000 0.000 0.000 1
Mg1 Mg 0.500 0.500 0.000 1
Sn1 Sn 0.000 0.500 0.500 1
```

=====

(11)
Below is a relaxed SrPuMg crystal, with properties calculated at the PBE level.

**Electronic total energy**: -5.232 eV/atom

Geometry as CIF:
```
data_SrPuMg
_chemical_formula_sum 'Sr4 Pu4 Mg4'
_symmetry_space_group_name_H-M 'F -4 3 m'
_symmetry_Int_Tables_number 216
_symmetry_space_group_name_Hall 'F -4 2 3'
_cell_length_a 7.821
_cell_length_b 7.821
_cell_length_c 7.821
_cell_angle_alpha 90.00
_cell_angle_beta 90.00
_cell_angle_gamma 90.00
loop_
_atom_site_label
_atom_site_type_symbol
_atom_site_fract_x
_atom_site_fract_y
_atom_site_fract_z
_atom_site_occupancy
Sr1 Sr 0.000 0.000 0.000 1
Pu1 Pu 0.000 0.000 0.500 1
Mg1 Mg 0.250 0.250 0.750 1
```

=====

(12)
Below is a relaxed PuMgTe crystal, with properties calculated at the PBE level.

**Electronic total energy**: -6.473 eV/atom

Geometry as CIF:
```
data_PuMgTe
_chemical_formula_sum 'Pu4 Mg4 Te4'
_symmetry_space_group_name_H-M 'F -4 3 m'
_symmetry_Int_Tables_number 216
_symmetry_space_group_name_Hall 'F -4 2 3'
_cell_length_a 7.169
_cell_length_b 7.169
_cell_length_c 7.169
_cell_angle_alpha 90.00
_cell_angle_beta 90.00
_cell_angle_gamma 90.00
loop_
_atom_site_label
_atom_site_type_symbol
_atom_site_fract_x
_atom_site_fract_y
_atom_site_fract_z
_atom_site_occupancy
Pu1 Pu 0.000 0.000 0.000 1
Mg1 Mg 0.000 0.000 0.500 1
Te1 Te 0.250 0.250 0.750 1
```